No. 1
# La2Mo3O12, relaxed, DFT GGA+U
data_La2Mo3O12
_chemical_formula_sum 'La8 Mo12 O48'
_space_group_name_H-M_alt 'C 1 2/c 1'
_space_group_IT_number 15
_cell_length_a 7.658
_cell_length_b 12.140
_cell_length_c 12.148
_cell_angle_alpha 90.00
_cell_angle_beta 108.13
_cell_angle_gamma 90.00
loop_
_space_group_symop_operation_xyz
'x,y,z'
'-x,-y,-z'
'-x,y,-z+1/2'
'x,-y,z+1/2'
'x+1/2,y+1/2,z'
'-x+1/2,-y+1/2,-z'
'-x+1/2,y+1/2,-z+1/2'
'x+1/2,-y+1/2,z+1/2'
loop_
_atom_site_label
_atom_site_fract_x
_atom_site_fract_y
_atom_site_fract_z
_atom_site_occupancy
La1 0.171 0.123 0.090 1
Mo1 0.000 0.124 0.750 1
Mo2 0.168 0.367 0.574 1
O1 0.018 0.442 0.903 1
O2 0.064 0.269 0.462 1
O3 0.124 0.202 0.880 1
O4 0.158 0.045 0.460 1
O5 0.161 0.037 0.714 1
O6 0.229 0.197 0.288 1
# E_tot (eV for the cell shown): -516.09
# Magnetic moment (μB per atom): 0.00

***

No. 2
# La3MoO6, relaxed, DFT GGA+U
data_La3MoO6
_chemical_formula_sum 'La12 Mo4 O24'
_space_group_name_H-M_alt 'C m c 21'
_space_group_IT_number 36
_cell_length_a 9.556
_cell_length_b 11.643
_cell_length_c 5.843
_cell_angle_alpha 90.00
_cell_angle_beta 90.00
_cell_angle_gamma 90.00
loop_
_space_group_symop_operation_xyz
'x,y,z'
'-x,-y,z+1/2'
'-x,y,z'
'x,-y,z+1/2'
'x+1/2,y+1/2,z'
'-x+1/2,-y+1/2,z+1/2'
'-x+1/2,y+1/2,z'
'x+1/2,-y+1/2,z+1/2'
loop_
_atom_site_label
_atom_site_fract_x
_atom_site_fract_y
_atom_site_fract_z
_atom_site_occupancy
La1 0.000 0.105 0.000 1
La2 0.209 0.381 0.957 1
Mo1 0.000 0.361 0.447 1
O1 0.000 0.278 0.768 1
O2 0.000 0.488 0.151 1
O3 0.145 0.255 0.270 1
O4 0.158 0.010 0.728 1
# E_tot (eV for the cell shown): -324.02
# Polymorph energy (0 for the lowest one) (eV/atom): 0.0809
# Magnetic moment (μB per atom): 0.30

***

No. 3
# La5Mo2O12, relaxed, DFT GGA+U
data_La5Mo2O12
_chemical_formula_sum 'La10 Mo4 O24'
_space_group_name_H-M_alt 'C 1 2/m 1'
_space_group_IT_number 12
_cell_length_a 13.035
_cell_length_b 5.959
_cell_length_c 8.016
_cell_angle_alpha 90.00
_cell_angle_beta 107.95
_cell_angle_gamma 90.00
loop_
_space_group_symop_operation_xyz
'x,y,z'
'-x,-y,-z'
'-x,y,-z'
'x,-y,z'
'x+1/2,y+1/2,z'
'-x+1/2,-y+1/2,-z'
'-x+1/2,y+1/2,-z'
'x+1/2,-y+1/2,z'
loop_
_atom_site_label
_atom_site_fract_x
_atom_site_fract_y
_atom_site_fract_z
_atom_site_occupancy
La1 0.000 0.000 0.000 1
La2 0.185 0.500 0.328 1
La3 0.190 0.500 0.857 1
Mo1 0.000 0.216 0.500 1
O1 0.000 0.500 0.332 1
O2 0.001 0.000 0.697 1
O3 0.157 0.249 0.577 1
O4 0.157 0.251 0.079 1
# E_tot (eV for the cell shown): -307.33
# Magnetic moment (μB per atom): 0.05

***

No. 4
# LaMoO2, relaxed, DFT GGA+U
data_LaMoO2
_chemical_formula_sum 'La3 Mo3 O6'
_space_group_name_H-M_alt 'R -3 m'
_space_group_IT_number 166
_space_group_name_Hall '-R 3 2"'
_cell_length_a 3.5054
_cell_length_b 3.5054
_cell_length_c 19.6338
_cell_angle_alpha 90.00
_cell_angle_beta 90.00
_cell_angle_gamma 120.00
loop_
_atom_site_label
_atom_site_fract_x
_atom_site_fract_y
_atom_site_fract_z
_atom_site_occupancy
La1 0.0000 0.0000 0.0000 1
Mo1 0.0000 0.0000 0.5000 1
O1 0.0000 0.0000 0.1197 1
# E_tot (eV for the cell shown): -85.02
# Polymorph energy (0 for the lowest one) (eV/atom): 0.2235
# Magnetic moment (μB per atom): 0.71

***

No. 5
# La2MoO2, relaxed, DFT GGA+U
data_La2MoO2
_chemical_formula_sum 'La4 Mo2 O4'
_space_group_name_H-M_alt 'I 4/m m m'
_space_group_IT_number 139
_space_group_name_Hall '-I 4 2'
_cell_length_a 4.226
_cell_length_b 4.226
_cell_length_c 13.534
_cell_angle_alpha 90.00
_cell_angle_beta 90.00
_cell_angle_gamma 90.00
loop_
_atom_site_label
_atom_site_fract_x
_atom_site_fract_y
_atom_site_fract_z
_atom_site_occupancy
La1 0.000 0.000 0.166 1
Mo1 0.000 0.000 0.500 1
O1 0.000 0.500 0.250 1
# E_tot (eV for the cell shown): -72.30
# Polymorph energy (0 for the lowest one) (eV/atom): 0.0000
# Magnetic moment (μB per atom): 1.00

***

No. 6
# La3MoO6, relaxed, DFT GGA+U
data_La3MoO6
_chemical_formula_sum 'La18 Mo6 O36'
_space_group_name_H-M_alt 'R -3'
_space_group_IT_number 148
_space_group_name_Hall '-R 3'
_cell_length_a 10.1257
_cell_length_b 10.1257
_cell_length_c 11.3880
_cell_angle_alpha 90.00
_cell_angle_beta 90.00
_cell_angle_gamma 120.00
loop_
_atom_site_label
_atom_site_fract_x
_atom_site_fract_y
_atom_site_fract_z
_atom_site_occupancy
La1 0.0411 0.2664 0.2023 1
Mo1 0.0000 0.0000 0.0000 1
Mo2 0.0000 0.0000 0.5000 1
O1 0.0275 0.1847 0.8851 1
O2 0.0323 0.2074 0.4051 1
# E_tot (eV for the cell shown): -490.88
# Polymorph energy (0 for the lowest one) (eV/atom): 0.0000
# Magnetic moment (μB per atom): 0.30

***

No. 7
# LaMo2O8, relaxed, DFT GGA+U
data_LaMo2O8
_chemical_formula_sum 'La2 Mo4 O16'
_space_group_name_H-M_alt 'I 4 2 2'
_space_group_IT_number 97
_space_group_name_Hall 'I 4 2'
_cell_length_a 4.871
_cell_length_b 4.871
_cell_length_c 11.777
_cell_angle_alpha 90.00
_cell_angle_beta 90.00
_cell_angle_gamma 90.00
loop_
_atom_site_label
_atom_site_fract_x
_atom_site_fract_y
_atom_site_fract_z
_atom_site_occupancy
La1 0.000 0.000 0.000 1
Mo1 0.000 0.500 0.250 1
O1 0.234 0.266 0.650 1
# E_tot (eV for the cell shown): -149.45
# Magnetic moment (μB per atom): 0.00

***

No. 8
# La3MoO7, relaxed, DFT GGA+U
data_La3MoO7
_chemical_formula_sum 'La12 Mo4 O28'
_space_group_name_H-M_alt 'P 21 21 21'
_space_group_IT_number 19
_cell_length_a 7.762
_cell_length_b 7.772
_cell_length_c 11.156
_cell_angle_alpha 90.00
_cell_angle_beta 90.00
_cell_angle_gamma 90.00
loop_
_space_group_symop_operation_xyz
'x,y,z'
'-x+1/2,-y,z+1/2'
'x+1/2,-y+1/2,-z'
'-x,y+1/2,-z+1/2'
loop_
_atom_site_label
_atom_site_fract_x
_atom_site_fract_y
_atom_site_fract_z
_atom_site_occupancy
La1 0.037 0.011 0.248 1
La2 0.199 0.252 0.521 1
La3 0.205 0.248 0.969 1
Mo1 0.001 0.502 0.750 1
O1 0.013 0.760 0.382 1
O2 0.031 0.752 0.117 1
O3 0.084 0.255 0.747 1
O4 0.135 0.548 0.611 1
O5 0.175 0.537 0.878 1
O6 0.184 0.964 0.628 1
O7 0.209 0.964 0.872 1
# E_tot (eV for the cell shown): -357.63
# Polymorph energy (0 for the lowest one) (eV/atom): 0.0000
# Magnetic moment (μB per atom): 0.09

***

No. 9
# LaMo2O6, relaxed, DFT GGA+U
data_LaMo2O6
_chemical_formula_sum 'La2 Mo4 O12'
_space_group_name_H-M_alt 'C 1 2/m 1'
_space_group_IT_number 12
_cell_length_a 5.448
_cell_length_b 9.312
_cell_length_c 5.118
_cell_angle_alpha 90.00
_cell_angle_beta 90.40
_cell_angle_gamma 90.00
loop_
_space_group_symop_operation_xyz
'x,y,z'
'-x,-y,-z'
'-x,y,-z'
'x,-y,z'
'x+1/2,y+1/2,z'
'-x+1/2,-y+1/2,-z'
'-x+1/2,y+1/2,-z'
'x+1/2,-y+1/2,z'
loop_
_atom_site_label
_atom_site_fract_x
_atom_site_fract_y
_atom_site_fract_z
_atom_site_occupancy
La1 0.000 0.000 0.000 1
Mo1 0.000 0.330 0.500 1
O1 0.135 0.500 0.705 1
O2 0.176 0.186 0.718 1
# E_tot (eV for the cell shown): -137.16
# Magnetic moment (μB per atom): 0.33

***

No. 10
# La2Mo2O9, relaxed, DFT GGA+U
data_La2Mo2O9
_chemical_formula_sum 'La4 Mo4 O18'
_space_group_name_H-M_alt 'P 1'
_space_group_IT_number 1
_cell_length_a 7.255
_cell_length_b 7.303
_cell_length_c 7.332
_cell_angle_alpha 92.32
_cell_angle_beta 90.38
_cell_angle_gamma 90.60
loop_
_space_group_symop_operation_xyz
'x,y,z'
loop_
_atom_site_label
_atom_site_fract_x
_atom_site_fract_y
_atom_site_fract_z
_atom_site_occupancy
La1 0.000 0.000 0.000 1
La2 0.187 0.315 0.503 1
La3 0.513 0.786 0.747 1
La4 0.736 0.521 0.169 1
Mo1 0.188 0.452 0.976 1
Mo2 0.536 0.980 0.191 1
Mo3 0.655 0.322 0.639 1
Mo4 0.998 0.831 0.518 1
O1 0.004 0.968 0.323 1
O2 0.036 0.648 0.015 1
O3 0.062 0.318 0.161 1
O4 0.113 0.243 0.821 1
O5 0.209 0.885 0.632 1
O6 0.287 0.533 0.746 1
O7 0.350 0.922 0.018 1
O8 0.387 0.117 0.338 1
O9 0.403 0.483 0.097 1
O10 0.512 0.138 0.707 1
O11 0.540 0.458 0.472 1
O12 0.609 0.816 0.365 1
O13 0.693 0.809 0.023 1
O14 0.699 0.162 0.128 1
O15 0.707 0.479 0.829 1
O16 0.834 0.890 0.695 1
O17 0.860 0.242 0.534 1
O18 0.981 0.593 0.442 1
# E_tot (eV for the cell shown): -200.14
# Magnetic moment (μB per atom): 0.00

***

No. 11
# LaMoO2, relaxed, DFT GGA+U
data_LaMoO2
_chemical_formula_sum 'La8 Mo8 O16'
_space_group_name_H-M_alt 'I 41/a m d'
_space_group_IT_number 141
_cell_length_a 6.513
_cell_length_b 6.513
_cell_length_c 12.466
_cell_angle_alpha 90.00
_cell_angle_beta 90.00
_cell_angle_gamma 90.00
loop_
_space_group_symop_operation_xyz
'x,y,z'
'-x,-y,-z'
'-y+1/4,x+3/4,z+1/4'
'y+1/4,-x+3/4,-z+1/4'
'-x+1/2,-y,z+1/2'
'x+1/2,y,-z+1/2'
'y+1/4,-x+1/4,z+3/4'
'-y+1/4,x+1/4,-z+3/4'
'x,-y,-z'
'-x,y,z'
'-y+1/4,-x+1/4,-z+3/4'
'y+1/4,x+1/4,z+3/4'
'-x+1/2,y,-z+1/2'
'x+1/2,-y,z+1/2'
'y+1/4,x+3/4,-z+1/4'
'-y+1/4,-x+3/4,z+1/4'
'x+1/2,y+1/2,z+1/2'
'-x+1/2,-y+1/2,-z+1/2'
'-y+3/4,x+1/4,z+3/4'
'y+3/4,-x+1/4,-z+3/4'
'-x,-y+1/2,z'
'x,y+1/2,-z'
'y+3/4,-x+3/4,z+1/4'
'-y+3/4,x+3/4,-z+1/4'
'x+1/2,-y+1/2,-z+1/2'
'-x+1/2,y+1/2,z+1/2'
'-y+3/4,-x+3/4,-z+1/4'
'y+3/4,x+3/4,z+1/4'
'-x,y+1/2,-z'
'x,-y+1/2,z'
'y+3/4,x+1/4,-z+3/4'
'-y+3/4,-x+1/4,z+3/4'
loop_
_atom_site_label
_atom_site_fract_x
_atom_site_fract_y
_atom_site_fract_z
_atom_site_occupancy
La1 0.000 0.000 0.000 1
Mo1 0.000 0.000 0.500 1
O1 0.000 0.031 0.202 1
# E_tot (eV for the cell shown): -233.87
# Polymorph energy (0 for the lowest one) (eV/atom): 0.0000
# Magnetic moment (μB per atom): 0.75

***

No. 12
# La2MoO2, relaxed, DFT GGA+U
data_La2MoO2
_chemical_formula_sum 'La4 Mo2 O4'
_space_group_name_H-M_alt 'P 4/m b m'
_space_group_IT_number 127
_space_group_name_Hall '-P 4 2ab'
_cell_length_a 8.007
_cell_length_b 8.007
_cell_length_c 3.137
_cell_angle_alpha 90.00
_cell_angle_beta 90.00
_cell_angle_gamma 90.00
loop_
_atom_site_label
_atom_site_fract_x
_atom_site_fract_y
_atom_site_fract_z
_atom_site_occupancy
La1 0.141 0.359 0.000 1
Mo1 0.000 0.000 0.000 1
O1 0.114 0.614 0.500 1
# E_tot (eV for the cell shown): -63.88
# Polymorph energy (0 for the lowest one) (eV/atom): 0.8420
# Magnetic moment (μB per atom): 0.90